Here is an optimized crystal structure of CrMoSe2 from Alexandria. Energies are from PBE.

The structure in POSCAR format:
```
CrMoSe2
1.0
3.201 0.000 0.000
0.000 3.201 0.000
0.000 0.000 6.425
Cr Mo Se
1 1 2
Cartesian
0.000 0.000 0.000
0.000 0.000 3.213
1.600 1.600 1.673
1.600 1.600 4.752
```

Values from the calculation:
E above lowest polymorph ... 357 meV/atom
Calculated total energy ... -0.499 Ry per atom
Uncorrected formation energy ... 0.0662 eV per atom

=====

Here is an optimized crystal structure of K2SmSb2O6 from Alexandria. Energies are from PBE.

The structure in POSCAR format:
```
K2SmSb2O6
1.0
5.040 -3.182 0.000
5.040 3.182 0.000
-3.208 0.000 6.677
K Sm Sb O
2 1 2 6
Cartesian
1.547 0.000 0.964
5.325 0.000 5.713
-1.604 0.000 3.339
1.895 0.000 5.104
4.977 0.000 1.573
3.779 1.538 1.667
0.734 0.000 3.562
3.094 1.538 5.011
3.779 -1.538 1.667
6.139 0.000 3.115
3.094 -1.538 5.011
```

Values from the calculation:
Calculated total energy ... -0.435 Ry per atom
Uncorrected formation energy ... -1.8315 eV per atom